# 1
Density functional theory data (GGA-PBE) for a geometry-optimized Cu4Ni3Pd2 structure.

Calculated values
Formation enthalpy at 0 K ... 0.091 eV/atom

Structure (CIF):
```
data_Cu4Ni3Pd2
_cell_length_a 2.6077
_cell_length_b 2.6077
_cell_length_c 19.3476
_cell_angle_alpha 90.00
_cell_angle_beta 90.00
_cell_angle_gamma 120.00
_symmetry_space_group_name_H-M 'P 3 m 1'
_symmetry_Int_Tables_number 156
_symmetry_space_group_name_Hall 'P 3 -2"'
loop_
_atom_site_label
_atom_site_fract_x
_atom_site_fract_y
_atom_site_fract_z
Cu1 0.0000 0.0000 0.0000
Cu2 0.0000 0.0000 0.2088
Cu3 0.3333 0.6667 0.3163
Cu4 0.3333 0.6667 0.5255
Ni1 0.0000 0.0000 0.4210
Ni2 0.3333 0.6667 0.1041
Ni3 0.3333 0.6667 0.7552
Pd1 0.0000 0.0000 0.6414
Pd2 0.0000 0.0000 0.8685
```


# 2
Density functional theory data (GGA-PBE) for a geometry-optimized Cu5Ni2Pd4 structure.

Calculated values
Offset from the most stable computed form ... 0 meV/atom
Formation enthalpy at 0 K ... 0.013 eV/atom

Structure (CIF):
```
data_Cu5Ni2Pd4
_cell_length_a 16.9777
_cell_length_b 2.6634
_cell_length_c 6.5149
_cell_angle_alpha 90.00
_cell_angle_beta 97.41
_cell_angle_gamma 90.00
_symmetry_space_group_name_H-M 'C 1 2/m 1'
_symmetry_Int_Tables_number 12
_symmetry_space_group_name_Hall '-C 2y'
loop_
_atom_site_label
_atom_site_fract_x
_atom_site_fract_y
_atom_site_fract_z
Cu1 0.0000 0.0000 0.0000
Cu2 0.1332 0.5000 0.0560
Cu3 0.1904 0.5000 0.4353
Ni1 0.2433 0.5000 0.8324
Pd1 0.0398 0.5000 0.3366
Pd2 0.1103 0.0000 0.7031
```


| no. | total moment (μB/f.u.) |
| --- | --- |
| 1 | 0.50 |
| 2 | 0.98 |